DFT (PBE) results for a relaxed ZrScCuIr crystal.

Summary:
For the formation energy, the calculation gives -59.1 kJ/mol of atoms.

Cell: 4.6299 4.6299 4.6299 Å, 60.00 60.00 60.00°
Closest atoms and distances in Å follow each position.
Atoms (fractional coordinates):
Sc 0.5000 0.5000 0.5000  4 Ir 2.84, 4 Cu 2.84
Ir 0.7500 0.7500 0.7500  4 Sc 2.84, 4 Zr 2.84
Cu 0.2500 0.2500 0.2500  4 Zr 2.84, 4 Sc 2.84
Zr 0.0000 0.0000 0.0000  4 Cu 2.84, 4 Ir 2.84

DFT (PBE) results for a relaxed CuIr4Se8 crystal.

Summary:
The raw formation energy comes out at -0.2637 eV/atom.

Cell: 7.3477 7.3477 7.3477 Å, 60.00 60.00 60.00°
Closest atoms and distances in Å follow each position.
Atoms (fractional coordinates):
Se 0.6143 0.6143 0.1571  1 Cu 2.44, 3 Ir 2.54
Se 0.1316 0.1316 0.6052  3 Ir 2.49
Se 0.6052 0.1316 0.1316  3 Ir 2.49
Se 0.1571 0.6143 0.6143  1 Cu 2.44, 3 Ir 2.54
Se 0.6143 0.6143 0.6143  1 Cu 2.44, 3 Ir 2.54
Se 0.6143 0.1571 0.6143  1 Cu 2.44, 3 Ir 2.54
Se 0.1316 0.1316 0.1316  3 Ir 2.49
Se 0.1316 0.6052 0.1316  3 Ir 2.49
Ir 0.3711 0.8867 0.3711  6 Se 2.49-2.54
Ir 0.8867 0.3711 0.3711  6 Se 2.49-2.54
Ir 0.3711 0.3711 0.8867  6 Se 2.49-2.54
Ir 0.3711 0.3711 0.3711  6 Se 2.49-2.54
Cu 0.7500 0.7500 0.7500  4 Se 2.44

DFT (PBE) results for a relaxed CuIrSe6 crystal.

Summary:
The raw formation energy comes out at -0.1195 eV/atom.

Cell: 5.9793 6.6279 6.2290 Å, 55.26 72.55 72.75°
Closest atoms and distances in Å follow each position.
Atoms (fractional coordinates):
Se 0.0770 0.4316 0.6933  1 Se 2.41, 1 Cu 2.46, 1 Ir 2.51
Se 0.4334 0.6607 0.7985  1 Se 2.36, 1 Ir 2.51
Se 0.3413 0.9389 0.1895  1 Se 2.42, 1 Cu 2.48, 1 Ir 2.48
Se 0.6587 0.0611 0.8105  1 Se 2.42, 1 Cu 2.48, 1 Ir 2.48
Se 0.9230 0.5684 0.3067  1 Se 2.41, 1 Cu 2.46, 1 Ir 2.51
Se 0.5666 0.3393 0.2015  1 Se 2.36, 1 Ir 2.51
Ir 0.5000 0.5000 0.5000  6 Se 2.48-2.51
Cu 0.0000 0.0000 0.0000  4 Se 2.46-2.48

DFT (PBE) results for a relaxed CuIrSe3 crystal.

Summary:
The raw formation energy comes out at 0.7951 eV/atom. As for the energy relative to the lowest polymorph listed for this composition: 0 meV/atom.

Cell: 4.9201 4.9201 4.9201 Å, 90.00 90.00 90.00°
Closest atoms and distances in Å follow each position.
Atoms (fractional coordinates):
Se 0.0000 0.0000 0.5000  2 Ir 2.46
Se 0.5000 0.0000 0.0000  2 Ir 2.46
Se 0.0000 0.5000 0.0000  2 Ir 2.46
Cu 0.5000 0.5000 0.5000  12 Se 3.48
Ir 0.0000 0.0000 0.0000  6 Se 2.46

DFT (PBE) results for a relaxed CuIr4Se crystal.

Summary:
The raw formation energy comes out at 0.7722 eV/atom.

Cell: 5.1961 5.1961 5.1961 Å, 60.00 60.00 60.00°
Closest atoms and distances in Å follow each position.
Atoms (fractional coordinates):
Ir 0.3748 0.3748 0.3748  6 Ir 2.59-2.60
Ir 0.8757 0.3748 0.3748  6 Ir 2.59-2.60
Ir 0.3748 0.3748 0.8757  6 Ir 2.59-2.60
Ir 0.3748 0.8757 0.3748  6 Ir 2.59-2.60
Cu 0.0000 0.0000 0.0000  12 Ir 3.05, 4 Se 3.18
Se 0.7500 0.7500 0.7500  12 Ir 3.05, 4 Cu 3.18

DFT (PBE) results for a relaxed CuIr2Se6 crystal.

Summary:
The raw formation energy comes out at -0.1953 eV/atom.

Cell: 4.9975 11.2594 11.2594 Å, 120.00 90.00 90.00°
Closest atoms and distances in Å follow each position.
Atoms (fractional coordinates):
Se 0.2790 0.5444 0.4556  2 Ir 2.49, 1 Cu 2.67
Se 0.7210 0.4556 0.5444  2 Ir 2.49, 1 Cu 2.67
Se 0.2736 0.2112 0.7888  2 Ir 2.48, 1 Cu 2.59
Se 0.7264 0.4224 0.2112  2 Ir 2.48, 1 Cu 2.59
Se 0.2611 0.8854 0.7707  2 Ir 2.51, 1 Cu 2.59
Se 0.2611 0.2293 0.1146  2 Ir 2.51, 1 Cu 2.59
Se 0.7210 0.0889 0.5444  2 Ir 2.49, 1 Cu 2.67
Se 0.7389 0.1146 0.8854  2 Ir 2.51, 1 Cu 2.59
Se 0.7264 0.7888 0.5776  2 Ir 2.48, 1 Cu 2.59
Se 0.7389 0.1146 0.2293  2 Ir 2.51, 1 Cu 2.59
Se 0.2736 0.2112 0.4224  2 Ir 2.48, 1 Cu 2.59
Se 0.7264 0.7888 0.2112  2 Ir 2.48, 1 Cu 2.59
Se 0.7210 0.4556 0.9111  2 Ir 2.49, 1 Cu 2.67
Se 0.2790 0.5444 0.0889  2 Ir 2.49, 1 Cu 2.67
Se 0.7389 0.7707 0.8854  2 Ir 2.51, 1 Cu 2.59
Se 0.2790 0.9111 0.4556  2 Ir 2.49, 1 Cu 2.67
Se 0.2611 0.8854 0.1146  2 Ir 2.51, 1 Cu 2.59
Se 0.2736 0.5776 0.7888  2 Ir 2.48, 1 Cu 2.59
Ir 0.0000 0.3340 0.3340  6 Se 2.48-2.51
Ir 0.0000 0.0000 0.6660  6 Se 2.48-2.51
Ir 0.0000 0.6660 0.6660  6 Se 2.48-2.51
Ir 0.0000 0.0000 0.3340  6 Se 2.48-2.51
Ir 0.0000 0.6660 0.0000  6 Se 2.48-2.51
Ir 0.0000 0.3340 0.0000  6 Se 2.48-2.51
Cu 0.0000 0.0000 0.0000  6 Se 2.59
Cu 0.4794 0.3333 0.6667  6 Se 2.59-2.67
Cu 0.5206 0.6667 0.3333  6 Se 2.59-2.67

DFT (PBE) results for a relaxed Cu3Ir3Se8 crystal.

Summary:
The raw formation energy comes out at -0.2256 eV/atom.

Cell: 7.3008 7.3008 7.3008 Å, 61.39 61.39 61.39°
Closest atoms and distances in Å follow each position.
Atoms (fractional coordinates):
Cu 0.6204 0.6204 0.6204  4 Se 2.42-2.47
Cu 0.3796 0.3796 0.3796  4 Se 2.42-2.47
Cu 0.0000 0.0000 0.0000  6 Se 2.53
Se 0.2210 0.7578 0.7578  2 Cu 2.42-2.53, 2 Ir 2.50
Se 0.2422 0.2422 0.7790  2 Cu 2.42-2.53, 2 Ir 2.50
Se 0.7790 0.2422 0.2422  2 Cu 2.42-2.53, 2 Ir 2.50
Se 0.2399 0.2399 0.2399  1 Cu 2.47, 3 Ir 2.51
Se 0.7578 0.2210 0.7578  2 Cu 2.42-2.53, 2 Ir 2.50
Se 0.7601 0.7601 0.7601  1 Cu 2.47, 3 Ir 2.51
Se 0.2422 0.7790 0.2422  2 Cu 2.42-2.53, 2 Ir 2.50
Se 0.7578 0.7578 0.2210  2 Cu 2.42-2.53, 2 Ir 2.50
Ir 0.5000 0.0000 0.0000  6 Se 2.50-2.51
Ir 0.0000 0.5000 0.0000  6 Se 2.50-2.51
Ir 0.0000 0.0000 0.5000  6 Se 2.50-2.51

DFT (PBE) results for a relaxed CuSiIrSe2 crystal.

Summary:
The raw formation energy comes out at 0.9061 eV/atom.

Cell: 4.8183 4.5136 4.8183 Å, 90.00 90.00 90.00°
Closest atoms and distances in Å follow each position.
Atoms (fractional coordinates):
Se 0.0000 0.0000 0.5000  2 Si 2.41
Se 0.5000 0.0000 0.0000  2 Si 2.41
Cu 0.5000 0.5000 0.5000  8 Se 3.30, 4 Ir 3.41
Ir 0.0000 0.5000 0.0000  2 Si 2.26
Si 0.0000 0.0000 0.0000  2 Ir 2.26, 4 Se 2.41

| no. | theoretical density (g/cm³) | total energy (eV per atom) |
| --- | --- | --- |
| 1 | 9.27 | -7.57 |
| 2 | 8.67 | -5.45 |
| 3 | 6.34 | -4.35 |
| 4 | 6.87 | -3.89 |
| 5 | 15.26 | -6.40 |
| 6 | 8.37 | -4.94 |
| 7 | 8.19 | -4.99 |
| 8 | 7.00 | -4.16 |